Compound: Nd2SmSbN4
Source: Alexandria via LeMat-Bulk
Functional: PBE
Structure: optimized geometry

Structure (CIF):
```
data_Nd2SmSbN4
_chemical_formula_sum 'Nd8 Sm4 Sb4 N16'
_space_group_name_H-M_alt 'C m c m'
_space_group_IT_number 63
_space_group_name_Hall '-C 2c 2'
_cell_length_a 3.6574
_cell_length_b 12.0619
_cell_length_c 12.4418
_cell_angle_alpha 90.00
_cell_angle_beta 90.00
_cell_angle_gamma 90.00
loop_
_atom_site_label
_atom_site_type_symbol
_atom_site_fract_x
_atom_site_fract_y
_atom_site_fract_z
Nd1 Nd 0.0000 0.1298 0.0355
Sm1 Sm 0.0000 0.3826 0.2500
Sb1 Sb 0.0000 0.3517 0.7500
N1 N 0.0000 0.0532 0.2500
N2 N 0.0000 0.2238 0.6345
N3 N 0.0000 0.5000 0.0000
```

Fermi-level density of states = 3.5 states/eV/f.u.
ΔE_f (raw) = -611 meV per atom